Entry 1:
Density functional theory data (PBE) for a geometry-optimized YHo2Er3Bi6 structure.

## Properties
**Space group**: C2/m (12)
**Formation energy**: -835 meV per atom
**Uncorrected energy**: -5.218 eV per atom

The structure in CIF format:
```
data_YHo2Er3Bi6
_space_group_name_H-M_alt 'P 1'
_space_group_IT_number 1
_cell_length_a 4.4565
_cell_length_b 8.9177
_cell_length_c 9.9662
_cell_angle_alpha 102.86
_cell_angle_beta 102.92
_cell_angle_gamma 90.00
loop_
_space_group_symop_operation_xyz
'x,y,z'
loop_
_atom_site_label
_atom_site_type_symbol
_atom_site_fract_x
_atom_site_fract_y
_atom_site_fract_z
_atom_site_occupancy
Y1 Y 0.5000 0.0000 0.0000 1
Ho1 Ho 0.8332 0.6669 0.6665 1
Ho2 Ho 0.1668 0.3331 0.3335 1
Er1 Er 0.5000 0.5000 0.0000 1
Er2 Er 0.8336 0.1670 0.6673 1
Er3 Er 0.1664 0.8330 0.3327 1
Bi1 Bi 0.3326 0.9172 0.6651 1
Bi2 Bi 0.6664 0.5837 0.3328 1
Bi3 Bi 0.6674 0.0828 0.3349 1
Bi4 Bi 0.9999 0.2519 0.9998 1
Bi5 Bi 0.0001 0.7481 0.0002 1
Bi6 Bi 0.3336 0.4163 0.6672 1
```

Entry 2:
Density functional theory data (PBE) for a geometry-optimized MnCSeBr2 structure.

## Properties
**Energy above the most stable polymorph in this dataset**: 0.0000 eV/atom
**Space group**: P4/mmm (123)
**Uncorrected energy**: -3.970 eV per atom
**ΔE_f (raw)**: 1.075 eV/atom

The structure in CIF format:
```
data_MnCSeBr2
_space_group_name_H-M_alt 'P 1'
_space_group_IT_number 1
_cell_length_a 4.7443
_cell_length_b 4.7443
_cell_length_c 4.4562
_cell_angle_alpha 90.00
_cell_angle_beta 90.00
_cell_angle_gamma 90.00
loop_
_space_group_symop_operation_xyz
'x,y,z'
loop_
_atom_site_label
_atom_site_type_symbol
_atom_site_fract_x
_atom_site_fract_y
_atom_site_fract_z
_atom_site_occupancy
C1 C 0.0000 0.0000 0.0000 1
Mn1 Mn 0.5000 0.5000 0.5000 1
Se1 Se 0.0000 0.0000 0.5000 1
Br1 Br 0.0000 0.5000 0.0000 1
Br2 Br 0.5000 0.0000 0.0000 1
```